Entry from Alexandria via LeMat-Bulk: Ta3TiMn after structural relaxation (GGA-PBEsol).

Summary:
The total magnetization is 0.00 μB per formula unit. The total DFT energy (no corrections) is -51.713 eV per formula unit. The density of states at the Fermi level is 6.532 states/eV/cell.

CIF file:
```
data_Ta3TiMn
_symmetry_space_group_name_H-M 'P m -3 m'
_symmetry_Int_Tables_number 221
_symmetry_space_group_name_Hall '-P 4 2 3'
_cell_length_a 4.539
_cell_length_b 4.539
_cell_length_c 4.539
_cell_angle_alpha 90.00
_cell_angle_beta 90.00
_cell_angle_gamma 90.00
loop_
_atom_site_label
_atom_site_type_symbol
_atom_site_fract_x
_atom_site_fract_y
_atom_site_fract_z
_atom_site_occupancy
Ta1 Ta 0.000 0.000 0.500 1
Ti1 Ti 0.500 0.500 0.500 1
Mn1 Mn 0.000 0.000 0.000 1
```